Entry 1:
## SnF (PBE)

Data for crystalline SnF at its relaxed geometry.

## Properties
Total magnetic moment, μB per formula unit: 0.00
Calculated total energy, eV per atom: -4.477
Space group: Cmce (64)

Cell: 4.947 4.947 7.664 Å, 90.00 90.00 114.90°
Fractional positions:
Sn 0.068 0.932 0.823
Sn 0.432 0.568 0.323
Sn 0.568 0.432 0.677
Sn 0.932 0.068 0.177
F 0.178 0.822 0.368
F 0.322 0.678 0.868
F 0.678 0.322 0.132
F 0.822 0.178 0.632

***

Entry 2:
## SnF (PBE)

Data for crystalline SnF at its relaxed geometry.

## Properties
Total magnetic moment, μB per formula unit: 0.00
Calculated total energy, eV per atom: -4.283
Space group: P6_3/m (176)

Cell: 8.294 8.294 4.532 Å, 90.00 90.00 120.00°
Fractional positions:
Sn 0.135 0.720 0.250
Sn 0.280 0.415 0.250
Sn 0.415 0.135 0.750
Sn 0.585 0.865 0.250
Sn 0.720 0.585 0.750
Sn 0.865 0.280 0.750
F 0.088 0.594 0.750
F 0.406 0.494 0.750
F 0.494 0.088 0.250
F 0.506 0.912 0.750
F 0.594 0.506 0.250
F 0.912 0.406 0.250

***

Entry 3:
## SnF3 (PBE)

Data for crystalline SnF3 at its relaxed geometry.

## Properties
Total magnetic moment, μB per formula unit: 0.00
Calculated total energy, eV per atom: -4.842
Space group: Fm-3m (225)

Cell: 6.216 6.216 6.216 Å, 60.00 60.00 60.00°
Fractional positions:
Sn 0.000 0.000 0.000
Sn 0.500 0.500 0.500
F 0.229 0.229 0.771
F 0.229 0.771 0.229
F 0.229 0.771 0.771
F 0.771 0.229 0.229
F 0.771 0.229 0.771
F 0.771 0.771 0.229

***

Entry 4:
## SnF (PBE)

Data for crystalline SnF at its relaxed geometry.

## Properties
Total magnetic moment, μB per formula unit: 0.00
Calculated total energy, eV per atom: -4.412
Space group: I4/mmm (139)

Cell: 7.695 7.695 7.695 Å, 92.52 92.52 155.79°
Fractional positions:
Sn 0.000 0.290 0.290
Sn 0.000 0.710 0.710
Sn 0.290 0.000 0.290
Sn 0.710 0.000 0.710
F 0.138 0.138 0.276
F 0.138 0.862 0.000
F 0.862 0.138 0.000
F 0.862 0.862 0.724